Here is an optimized crystal structure of GdCdRh2 from Alexandria via LeMat-Bulk. Energies are from GGA-PBEsol.

```
data_GdCdRh2
_cell_length_a 6.545
_cell_length_b 6.545
_cell_length_c 6.545
_cell_angle_alpha 90.00
_cell_angle_beta 90.00
_cell_angle_gamma 90.00
_symmetry_space_group_name_H-M 'F m -3 m'
_symmetry_Int_Tables_number 225
_symmetry_space_group_name_Hall '-F 4 2 3'
loop_
_atom_site_label
_atom_site_fract_x
_atom_site_fract_y
_atom_site_fract_z
Gd1 0.000 0.000 0.000
Cd1 0.000 0.000 0.500
Rh1 0.250 0.250 0.250
```

Calculated values
Size of the total moment = 7.121 μB/f.u.
E_form = -0.493 eV per atom

=====

Here is an optimized crystal structure of CdGeH3 from Alexandria via LeMat-Bulk. Energies are from GGA-PBEsol.

```
data_CdGeH3
_cell_length_a 3.799
_cell_length_b 3.799
_cell_length_c 3.799
_cell_angle_alpha 90.00
_cell_angle_beta 90.00
_cell_angle_gamma 90.00
_symmetry_space_group_name_H-M 'P m -3 m'
_symmetry_Int_Tables_number 221
_symmetry_space_group_name_Hall '-P 4 2 3'
loop_
_atom_site_label
_atom_site_fract_x
_atom_site_fract_y
_atom_site_fract_z
Cd1 0.000 0.000 0.000
Ge1 0.500 0.500 0.500
H1 0.000 0.500 0.500
```

Calculated values
Size of the total moment = 0.000 μB/f.u.
Raw total energy = -13.729 eV/cell

=====

Here is an optimized crystal structure of CdHgGe3 from Alexandria via LeMat-Bulk. Energies are from GGA-PBEsol.

```
data_CdHgGe3
_cell_length_a 5.137
_cell_length_b 5.137
_cell_length_c 5.137
_cell_angle_alpha 90.00
_cell_angle_beta 90.00
_cell_angle_gamma 90.00
_symmetry_space_group_name_H-M 'P m -3 m'
_symmetry_Int_Tables_number 221
_symmetry_space_group_name_Hall '-P 4 2 3'
loop_
_atom_site_label
_atom_site_fract_x
_atom_site_fract_y
_atom_site_fract_z
Cd1 0.000 0.000 0.000
Hg1 0.500 0.500 0.500
Ge1 0.000 0.500 0.500
```

Calculated values
Size of the total moment = 0.000 μB/f.u.
E_form = 0.850 eV per atom

=====

Here is an optimized crystal structure of Cd3GeI from Alexandria via LeMat-Bulk. Energies are from GGA-PBEsol.

```
data_Cd3GeI
_cell_length_a 5.637
_cell_length_b 5.637
_cell_length_c 5.637
_cell_angle_alpha 90.00
_cell_angle_beta 90.00
_cell_angle_gamma 90.00
_symmetry_space_group_name_H-M 'P m -3 m'
_symmetry_Int_Tables_number 221
_symmetry_space_group_name_Hall '-P 4 2 3'
loop_
_atom_site_label
_atom_site_fract_x
_atom_site_fract_y
_atom_site_fract_z
Cd1 0.000 0.000 0.500
Ge1 0.500 0.500 0.500
I1 0.000 0.000 0.000
```

Calculated values
Size of the total moment = 0.451 μB/f.u.
Formation energy (no corrections) = 1016 meV/atom

=====

Here is an optimized crystal structure of CdGe2I from Alexandria via LeMat-Bulk. Energies are from GGA-PBEsol.

```
data_CdGe2I
_cell_length_a 7.149
_cell_length_b 7.149
_cell_length_c 7.149
_cell_angle_alpha 90.00
_cell_angle_beta 90.00
_cell_angle_gamma 90.00
_symmetry_space_group_name_H-M 'F m -3 m'
_symmetry_Int_Tables_number 225
_symmetry_space_group_name_Hall '-F 4 2 3'
loop_
_atom_site_label
_atom_site_fract_x
_atom_site_fract_y
_atom_site_fract_z
Cd1 0.000 0.000 0.000
Ge1 0.250 0.250 0.250
I1 0.000 0.000 0.500
```

Calculated values
Size of the total moment = 0.000 μB/f.u.
Formation energy (no corrections) = 464 meV/atom

=====

Here is an optimized crystal structure of Li2CdInGe from Alexandria via LeMat-Bulk. Energies are from GGA-PBEsol.

```
data_Li2CdInGe
_cell_length_a 4.858
_cell_length_b 4.858
_cell_length_c 5.256
_cell_angle_alpha 90.00
_cell_angle_beta 90.00
_cell_angle_gamma 90.00
_symmetry_space_group_name_H-M 'P 4/m m m'
_symmetry_Int_Tables_number 123
_symmetry_space_group_name_Hall '-P 4 2'
loop_
_atom_site_label
_atom_site_fract_x
_atom_site_fract_y
_atom_site_fract_z
Li1 0.000 0.500 0.000
Cd1 0.000 0.000 0.500
In1 0.500 0.500 0.500
Ge1 0.500 0.500 0.000
```

Calculated values
Size of the total moment = 0.000 μB/f.u.
E_form = 0.087 eV per atom

=====

Q: Which formula does entry 2 have?
A: CdGeH3

=====

Q: Which value of size of the total moment does entry 4 give?
A: 0.451 μB/f.u.

=====

Q: The highest size of the total moment belongs to which entry?
A: GdCdRh2